# 1
A relaxed structure of SmGdMg2, computed with PBE.

Lattice parameters (Å, degrees): 5.402 5.402 3.839 90.00 90.00 90.00
Positions (direct):
Sm 0.000 0.000 0.000
Gd 0.500 0.500 0.000
Mg 0.000 0.500 0.500
Mg 0.500 0.000 0.500

## Properties
For the volume, the calculation gives 28.0 Å³ per atom. The total energy is -12.85 eV per formula unit.

# 2
A relaxed structure of SmGdMg2, computed with PBE.

Lattice parameters (Å, degrees): 3.800 5.429 5.429 90.00 90.00 90.00
Positions (direct):
Sm 0.000 0.000 0.000
Gd 0.000 0.500 0.504
Mg 0.500 0.000 0.499
Mg 0.500 0.500 0.005

## Properties
For the volume, the calculation gives 28.0 Å³ per atom. The total energy is -12.85 eV per formula unit.

# 3
A relaxed structure of SmGdMg, computed with PBE.

Lattice parameters (Å, degrees): 5.289 5.289 5.289 60.00 60.00 60.00
Positions (direct):
Sm 0.000 0.000 0.000
Gd 0.500 0.500 0.500
Mg 0.750 0.750 0.750

## Properties
The energy above the most stable polymorph in this dataset is 0 meV per atom. For the volume, the calculation gives 34.9 Å³ per atom. The total energy is -9.71 eV per formula unit.

# 4
A relaxed structure of Gd2MgSn, computed with PBE.

Lattice parameters (Å, degrees): 4.910 4.910 4.434 90.00 90.00 90.00
Positions (direct):
Gd 0.000 0.500 0.000
Gd 0.500 0.000 0.000
Mg 0.000 0.000 0.500
Sn 0.500 0.500 0.500

## Properties
For the volume, the calculation gives 26.7 Å³ per atom. The total energy is -16.66 eV per formula unit.

# 5
A relaxed structure of GdMgSn, computed with PBE.

Lattice parameters (Å, degrees): 4.978 4.978 4.978 60.00 60.00 60.00
Positions (direct):
Gd 0.000 0.000 0.000
Mg 0.500 0.500 0.500
Sn 0.250 0.250 0.250

## Properties
For the volume, the calculation gives 29.1 Å³ per atom. The total energy is -11.24 eV per formula unit.

# 6
A relaxed structure of GdMg2Sn, computed with PBE.

Lattice parameters (Å, degrees): 4.519 4.519 4.769 90.00 90.00 90.00
Positions (direct):
Gd 0.000 0.000 0.000
Mg 0.000 0.500 0.500
Mg 0.500 0.000 0.500
Sn 0.500 0.500 0.000

## Properties
For the volume, the calculation gives 24.3 Å³ per atom. The total energy is -13.47 eV per formula unit.

# 7
A relaxed structure of GdMgSn, computed with PBE.

Lattice parameters (Å, degrees): 8.567 8.567 8.567 150.06 150.06 42.85
Positions (direct):
Gd 0.165 0.165 0.000
Gd 0.835 0.835 0.000
Mg 0.000 0.500 0.500
Mg 0.500 0.000 0.500
Sn 0.364 0.364 0.000
Sn 0.636 0.636 0.000

## Properties
For the volume, the calculation gives 26.0 Å³ per atom. The total energy is -11.99 eV per formula unit.

# 8
A relaxed structure of GdMgSn, computed with PBE.

Lattice parameters (Å, degrees): 5.078 5.078 5.078 60.00 60.00 60.00
Positions (direct):
Gd 0.000 0.000 0.000
Mg 0.750 0.750 0.750
Sn 0.250 0.250 0.250

## Properties
For the volume, the calculation gives 30.9 Å³ per atom. The total energy is -10.35 eV per formula unit.

# 9
A relaxed structure of GdMgTa, computed with PBE.

Lattice parameters (Å, degrees): 4.795 4.795 4.795 60.00 60.00 60.00
Positions (direct):
Gd 0.000 0.000 0.000
Mg 0.250 0.250 0.250
Ta 0.500 0.500 0.500

## Properties
For the volume, the calculation gives 26.0 Å³ per atom. The total energy is -14.87 eV per formula unit.

# 10
A relaxed structure of TbGdMg6, computed with PBE.

Lattice parameters (Å, degrees): 6.711 6.711 5.177 90.00 90.00 120.00
Positions (direct):
Tb 0.000 0.000 0.000
Gd 0.667 0.333 0.500
Mg 0.008 0.504 0.000
Mg 0.170 0.341 0.500
Mg 0.170 0.830 0.500
Mg 0.496 0.504 0.000
Mg 0.496 0.992 0.000
Mg 0.659 0.830 0.500

## Properties
For the volume, the calculation gives 25.2 Å³ per atom. The total energy is -19.17 eV per formula unit.

# 11
A relaxed structure of TbGdMg, computed with PBE.

Lattice parameters (Å, degrees): 5.252 5.252 5.252 60.00 60.00 60.00
Positions (direct):
Tb 0.000 0.000 0.000
Gd 0.500 0.500 0.500
Mg 0.750 0.750 0.750

## Properties
For the volume, the calculation gives 34.1 Å³ per atom. The total energy is -9.58 eV per formula unit.

# 12
A relaxed structure of GdMgTl, computed with PBE.

Lattice parameters (Å, degrees): 7.583 7.583 4.683 90.00 90.00 120.00
Positions (direct):
Gd 0.000 0.571 0.000
Gd 0.429 0.429 0.000
Gd 0.571 0.000 0.000
Mg 0.000 0.243 0.500
Mg 0.243 0.000 0.500
Mg 0.757 0.757 0.500
Tl 0.000 0.000 0.000
Tl 0.333 0.667 0.500
Tl 0.667 0.333 0.500

## Properties
For the volume, the calculation gives 25.9 Å³ per atom. The total energy is -9.59 eV per formula unit.

For each record above, in turn, the calculated magnetization values are 0.0; 0.0; 0.6; 0.0; 0.0; 0.0; 0.0; 0.0; 0.0; 0.0; 0.4; 0.0 μB/f.u..